Entry 1:
## CuTeCl2 (PBE)

Data for a relaxed CuTeCl2 crystal.

abc: 3.587 3.440 8.896
angles: 102.94 90.00 90.00
Atoms (fractional coordinates):
Cl 0.000 0.818 0.953
Cl 0.500 0.455 0.339
Te 0.500 0.677 0.711
Cu 0.000 0.550 0.497

Computed properties:
The formation energy (no corrections) is -0.26 eV/atom. The size of the total moment is 0.0 μB/f.u. The total energy comes out at -11.99 eV per cell.

***

Entry 2:
## CuTeCl2 (PBE)

Data for a relaxed CuTeCl2 crystal.

abc: 5.209 5.209 3.241
angles: 90.00 90.00 103.87
Atoms (fractional coordinates):
Cl 0.500 0.500 0.000
Cl 0.000 0.000 0.000
Cu 0.500 0.000 0.500
Te 0.000 0.500 0.500

Computed properties:
The formation energy (no corrections) is 0.34 eV/atom. The size of the total moment is 0.0 μB/f.u. The total energy comes out at -9.55 eV per cell.

***

Entry 3:
## CuTeCl2 (PBE)

Data for a relaxed CuTeCl2 crystal.

abc: 4.881 4.881 4.881
angles: 120.04 120.04 89.94
Atoms (fractional coordinates):
Cl 0.250 0.750 0.500
Cl 0.000 0.000 0.000
Cu 0.500 0.500 0.000
Te 0.750 0.250 0.500

Computed properties:
The formation energy (no corrections) is 0.38 eV/atom. The size of the total moment is 0.0 μB/f.u. The total energy comes out at -9.41 eV per cell.

***

Entry 4:
## CuTeCl2 (PBE)

Data for a relaxed CuTeCl2 crystal.

abc: 3.545 3.545 10.883
angles: 90.00 90.00 126.45
Atoms (fractional coordinates):
Cl 0.000 0.000 0.103
Cl 0.000 0.000 0.397
Te 0.500 0.500 0.750
Cu 0.500 0.500 0.250

Computed properties:
The formation energy (no corrections) is -0.17 eV/atom. The size of the total moment is 1.0 μB/f.u. The total energy comes out at -11.60 eV per cell.

***

Entry 5:
## CuTe2Cl (PBE)

Data for a relaxed CuTe2Cl crystal.

abc: 3.099 3.099 11.691
angles: 90.00 90.00 90.00
Atoms (fractional coordinates):
Cl 0.000 0.000 0.610
Te 0.500 0.500 0.267
Te 0.000 0.000 0.914
Cu 0.500 0.500 0.709

Computed properties:
The formation energy (no corrections) is 0.07 eV/atom. The size of the total moment is 0.0 μB/f.u. The total energy comes out at -11.95 eV per cell.

***

Entry 6:
## CuTe2Cl (PBE)

Data for a relaxed CuTe2Cl crystal.

abc: 3.412 5.173 9.124
angles: 90.00 90.00 135.58
Atoms (fractional coordinates):
Te 0.500 0.500 0.212
Te 0.000 0.000 0.952
Cu 0.500 0.500 0.743
Cl 0.000 0.000 0.593

Computed properties:
The formation energy (no corrections) is -0.10 eV/atom. The size of the total moment is 0.0 μB/f.u. The total energy comes out at -12.64 eV per cell.

***

Entry 7:
## Cu3Te2Cl2 (PBE)

Data for a relaxed Cu3Te2Cl2 crystal.

abc: 3.734 7.663 9.406
angles: 138.72 101.45 90.00
Atoms (fractional coordinates):
Cl 0.376 0.203 0.753
Cl 0.624 0.797 0.247
Cu 0.329 0.833 0.657
Cu 0.000 0.500 0.000
Cu 0.671 0.167 0.343
Te 0.122 0.284 0.243
Te 0.878 0.716 0.757

Computed properties:
The formation energy (no corrections) is -0.19 eV/atom. The size of the total moment is 0.0 μB/f.u. The total energy comes out at -23.60 eV per cell.

***

Entry 8:
## CuTeCl2 (PBE)

Data for a relaxed CuTeCl2 crystal.

abc: 3.937 3.937 8.739
angles: 90.00 90.00 126.16
Atoms (fractional coordinates):
Cu 0.000 0.000 0.498
Cl 0.000 0.000 0.950
Cl 0.500 0.500 0.343
Te 0.500 0.500 0.709

Computed properties:
The formation energy (no corrections) is -0.21 eV/atom. The size of the total moment is 0.0 μB/f.u. The total energy comes out at -11.79 eV per cell.